# 1
Material: AcEuLu2
Method: DFT, PBE
State: optimized geometry

a = 4.095 Å, b = 4.095 Å, c = 8.403 Å
α = 90.00°, β = 90.00°, γ = 90.00°
Last column: magnetic moment on the atom in μB.
Positions (direct):
1 Eu 0.500 0.500 0.500  6.86
2 Ac 0.500 0.500 0.000  -0.05
3 Lu 0.000 0.000 0.735  0.01
4 Lu 0.000 0.000 0.265  0.01

Values from the calculation:
ΔH_f (0 K)   0.12 eV per atom
E above lowest polymorph   0.00 eV per formula unit
Space group   P4/mmm (123)
Crystal system   tetragonal
DFT total energy   -0.4216 Ry per atom

---

# 2
Material: Nb4Zn5Co2
Method: DFT, PBE
State: optimized geometry

a = 2.771 Å, b = 6.782 Å, c = 8.934 Å
α = 93.02°, β = 90.00°, γ = 90.00°
Positions (direct):
1 Nb 0.500 0.745 0.547
2 Nb 0.500 0.147 0.883
3 Nb 0.500 0.255 0.453
4 Nb 0.500 0.853 0.117
5 Zn 0.000 0.566 0.295
6 Zn 0.000 0.209 0.168
7 Zn 0.000 0.500 0.000
8 Zn 0.000 0.791 0.832
9 Zn 0.000 0.434 0.705
10 Co 0.000 0.058 0.640
11 Co 0.000 0.942 0.360

Values from the calculation:
ΔH_f (0 K)   -0.08 eV per atom
Space group   P2/m (10)
Crystal system   monoclinic
DFT total energy   -0.4122 Ry per atom

---

# 3
Material: LuNbFe
Method: DFT, PBE
State: optimized geometry

a = 3.206 Å, b = 3.206 Å, c = 5.800 Å
α = 106.05°, β = 106.05°, γ = 90.00°
Last column: magnetic moment on the atom in μB.
Positions (direct):
1 Nb 0.696 0.696 0.392  -0.19
2 Lu 0.991 0.991 0.982  -0.01
3 Fe 0.313 0.313 0.626  1.23

Values from the calculation:
ΔH_f (0 K)   0.07 eV per atom
Space group   I4mm (107)
Crystal system   tetragonal
DFT total energy   -0.5599 Ry per atom

---

Look up the ΔH_f (0 K) of the first one.
0.12 eV per atom